## one
Crystalline Na2Al2Co at its relaxed geometry. Source: Alexandria, functional GGA-PBE.

The calculation puts the density of states at the Fermi level at 2.127 states/eV/f.u.

It has space group I4/mmm (No. 139), with a = 3.467 Å, b = 3.467 Å, c = 15.415 Å, α = 90.00°, β = 90.00° and γ = 90.00°. The distinct sites, in fractional coordinates, are Na at (0.000, 0.500, 0.250), Al at (0.000, 0.000, 0.082) and Co at (0.000, 0.000, 0.500).

---

## two
Crystalline Na2Al2Co at its relaxed geometry. Source: Alexandria, functional GGA-PBE.

The calculation puts the density of states at the Fermi level at 3.717 states/eV/f.u.

It has space group P4/mbm (No. 127), with a = 6.337 Å, b = 6.337 Å, c = 5.477 Å, α = 90.00°, β = 90.00° and γ = 90.00°. The distinct sites, in fractional coordinates, are Na at (0.175, 0.325, 0.000), Al at (0.200, 0.700, 0.500) and Co at (0.000, 0.000, 0.500).

---

Relative calculated energies, zero for the most stable structure, unit meV/atom: one 335; two 0.

---

## one
Crystalline NaAl2Co2 at its relaxed geometry. Source: Alexandria, functional GGA-PBE.

The calculation puts the density of states at the Fermi level at 3.914 states/eV/f.u.

It has space group I4/mmm (No. 139), with a = 3.926 Å, b = 3.926 Å, c = 10.768 Å, α = 90.00°, β = 90.00° and γ = 90.00°. The distinct sites, in fractional coordinates, are Na at (0.000, 0.000, 0.000), Al at (0.000, 0.000, 0.371) and Co at (0.000, 0.500, 0.250).

---

## two
Crystalline NaAl2Co2 at its relaxed geometry. Source: Alexandria, functional GGA-PBE.

The calculation puts the density of states at the Fermi level at 3.992 states/eV/f.u.

It has space group P4/mbm (No. 127), with a = 7.269 Å, b = 7.269 Å, c = 2.672 Å, α = 90.00°, β = 90.00° and γ = 90.00°. The distinct sites, in fractional coordinates, are Na at (0.000, 0.000, 0.000), Al at (0.136, 0.364, 0.000) and Co at (0.154, 0.654, 0.500).

---

Relative calculated energies, zero for the most stable structure, unit meV/atom: one 250; two 0.